Record 1
This record from Alexandria via LeMat-Bulk describes a geometry-optimized Dy6CdGa2 structure. The functional is PBE.

Cell: 9.6663 9.7056 10.5071 Å, 90.00 90.00 90.00°
Last column: nearest neighbours and their distance in Å.
Space group Immm (No. 71)
Symmetry-distinct sites (fractional):
Dy 0.0000 0.2045 0.1784 [8 per cell]  3 Ga 2.89-3.08
Dy 0.1816 0.2233 0.5000 [8 per cell]  3 Ga 3.07-3.16, 1 Cd 3.21
Dy 0.2010 0.5000 0.2564 [8 per cell]  2 Ga 2.95-3.22, 1 Cd 3.21
Cd 0.0000 0.5000 0.0000 [2 per cell]  8 Dy 3.32-3.43
Cd 0.0000 0.5000 0.5000 [2 per cell]  8 Dy 3.21, 2 Ga 3.41
Ga 0.0000 0.0000 0.3785 [4 per cell]  1 Ga 2.55
Ga 0.1468 0.0000 0.0000 [4 per cell]  1 Ga 2.84, 8 Dy 2.95-3.16

Total energy, eV/cell: -151.5
Relative energy among the computed polymorphs, eV per formula unit: 0.00


Record 2
This record from Alexandria via LeMat-Bulk describes a geometry-optimized Dy5Cd4Ga structure. The functional is PBE.

Cell: 3.6967 3.6967 18.6574 Å, 90.00 90.00 90.00°
Last column: nearest neighbours and their distance in Å.
Space group P4/mmm (No. 123)
Symmetry-distinct sites (fractional):
Dy 0.0000 0.0000 0.0000 [1 per cell]  8 Cd 3.23
Dy 0.0000 0.0000 0.2038 [2 per cell]  8 Cd 3.22-3.23
Dy 0.0000 0.0000 0.4084 [2 per cell]  4 Ga 3.12, 4 Cd 3.25, 1 Dy 3.42
Cd 0.5000 0.5000 0.1021 [2 per cell]  8 Dy 3.23
Cd 0.5000 0.5000 0.3049 [2 per cell]  8 Dy 3.22-3.25
Ga 0.5000 0.5000 0.5000 [1 per cell]  8 Dy 3.12

Total energy, eV/cell: -33.4


Record 3
This record from Alexandria via LeMat-Bulk describes a geometry-optimized Dy5CdGa4 structure. The functional is PBE.

Cell: 3.5828 3.5828 18.2456 Å, 90.00 90.00 90.00°
Last column: nearest neighbours and their distance in Å.
Space group P4/mmm (No. 123)
Symmetry-distinct sites (fractional):
Dy 0.0000 0.0000 0.0000 [1 per cell]  8 Ga 3.09
Dy 0.0000 0.0000 0.1946 [2 per cell]  8 Ga 3.10-3.11
Dy 0.0000 0.0000 0.3888 [2 per cell]  4 Ga 3.07, 4 Cd 3.25
Cd 0.5000 0.5000 0.5000 [1 per cell]  8 Dy 3.25, 4 Cd 3.58
Ga 0.5000 0.5000 0.0969 [2 per cell]  8 Dy 3.09-3.10
Ga 0.5000 0.5000 0.2939 [2 per cell]  8 Dy 3.07-3.11

Total energy, eV/cell: -41.4


Record 4
This record from Alexandria via LeMat-Bulk describes a geometry-optimized Dy4CdGa3 structure. The functional is PBE.

Cell: 5.1113 5.1113 7.2329 Å, 90.00 90.00 90.00°
Last column: nearest neighbours and their distance in Å.
Space group P4/mmm (No. 123)
Symmetry-distinct sites (fractional):
Dy 0.0000 0.5000 0.2431 [4 per cell]  6 Ga 3.10-3.16, 2 Cd 3.16
Cd 0.0000 0.0000 0.5000 [1 per cell]  8 Dy 3.16
Ga 0.0000 0.0000 0.0000 [1 per cell]  8 Dy 3.10
Ga 0.5000 0.5000 0.0000 [1 per cell]  8 Dy 3.10
Ga 0.5000 0.5000 0.5000 [1 per cell]  8 Dy 3.16

Total energy, eV/cell: -32.5


Record 5
This record from Alexandria via LeMat-Bulk describes a geometry-optimized Dy2Cd3Ga structure. The functional is PBE.

Cell: 3.5110 4.8272 8.3398 Å, 90.00 90.00 90.00°
Last column: nearest neighbours and their distance in Å.
Space group Pmm2 (No. 25)
Symmetry-distinct sites (fractional):
Dy 0.0000 0.0000 0.0000 [1 per cell]  2 Ga 3.20, 10 Cd 3.25-3.41, 2 Dy 3.51
Dy 0.0000 0.5000 0.4747 [1 per cell]  8 Cd 3.20-3.35, 4 Ga 3.25, 2 Dy 3.51
Cd 0.5000 0.0000 0.6491 [1 per cell]  1 Ga 2.74, 2 Cd 2.79
Cd 0.5000 0.5000 0.1545 [1 per cell]  2 Ga 2.79, 1 Cd 2.82
Cd 0.5000 0.5000 0.8168 [1 per cell]  3 Cd 2.79-2.82
Ga 0.5000 0.0000 0.3211 [1 per cell]  3 Cd 2.74-2.79

Total energy, eV/cell: -17.2


Record 6
This record from Alexandria via LeMat-Bulk describes a geometry-optimized DyCd4Ga2 structure. The functional is PBE.

Cell: 4.3743 15.9635 4.3480 Å, 90.00 90.00 90.00°
Last column: nearest neighbours and their distance in Å.
Space group Cmmm (No. 65)
Symmetry-distinct sites (fractional):
Dy 0.0000 0.0000 0.0000 [2 per cell]  8 Ga 3.31, 8 Cd 3.56-3.63
Cd 0.0000 0.1769 0.5000 [4 per cell]  2 Ga 2.73
Cd 0.0000 0.3185 0.0000 [4 per cell]  2 Ga 2.76, 4 Cd 3.08
Ga 0.0000 0.4250 0.5000 [4 per cell]  1 Ga 2.39

Total energy, eV/cell: -31.4


ΔE_f / meV per atom: -366, -371, -532, -516, -378, -199
Mass density / g/cm³: 8.3, 8.7, 8.5, 8.5, 8.6, 8.2